# 1
Here is CeTl2Tc3O12 after structural relaxation from the Alexandria database. Energies are from PBE.

## Properties
Formation energy without anion corrections: -1519 meV/atom
D(E_F): 8.5 states/eV per cell
Symmetry: R-3m
Calculated volume: 298.8 Å³/f.u.
Crystal system: trigonal
Raw total energy: -7.1446 eV/atom
ρ: 5.75 g/cm³

Structure (POSCAR):
```
CeTl2Tc3O12
1.0
-3.608 5.289 -4.192
-5.561 4.415 2.854
0.910 7.506 1.184
O Tc Tl Ce
12 3 2 1
Direct
0.298 0.298 0.933
0.702 0.067 0.702
0.640 0.079 0.079
0.298 0.933 0.298
0.933 0.298 0.298
0.079 0.640 0.079
0.921 0.921 0.360
0.360 0.921 0.921
0.921 0.360 0.921
0.702 0.702 0.067
0.079 0.079 0.640
0.067 0.702 0.702
0.000 0.000 0.500
0.000 0.500 0.000
0.500 0.000 0.000
0.337 0.337 0.337
0.663 0.663 0.663
0.000 0.000 0.000
```

# 2
Here is NbF4 after structural relaxation from the Alexandria database. Energies are from PBE.

## Properties
Formation energy without anion corrections: -2856 meV/atom
D(E_F): 1.8 states/eV per cell
Symmetry: I4/mmm
Calculated volume: 74.5 Å³/f.u.
Crystal system: tetragonal
Raw total energy: -6.3674 eV/atom
ρ: 3.77 g/cm³

Structure (POSCAR):
```
NbF4
1.0
-2.185 -4.359 1.845
2.652 -1.869 4.081
-1.900 4.718 -1.146
F Nb
4 1
Direct
0.000 0.500 0.500
0.500 0.000 0.500
0.778 0.778 0.000
0.222 0.222 0.000
0.000 0.000 0.000
```

# 3
Here is Th2AlCu after structural relaxation from the Alexandria database. Energies are from PBE.

## Properties
DFT formation energy: -0.181 eV per atom
D(E_F): 11.2 states/eV per cell
Symmetry: P2_1/m
Calculated volume: 99.1 Å³/f.u.
Crystal system: monoclinic
Raw total energy: -5.8510 eV/atom
ρ: 9.30 g/cm³

Structure (POSCAR):
```
Th2AlCu
1.0
4.024 0.000 0.000
0.000 6.060 -0.038
0.000 -3.073 8.143
Th Cu Al
4 2 2
Direct
0.250 0.794 0.561
0.250 0.795 0.089
0.750 0.206 0.439
0.750 0.205 0.911
0.750 0.623 0.282
0.250 0.377 0.718
0.250 0.355 0.213
0.750 0.645 0.787
```

# 4
Here is MnTlPb3 after structural relaxation from the Alexandria database. Energies are from PBE.

## Properties
DFT formation energy: 0.248 eV per atom
D(E_F): 2.2 states/eV per cell
Symmetry: Pm-3m
Calculated volume: 148.1 Å³/f.u.
Crystal system: cubic
Raw total energy: -4.2838 eV/atom
Offset from the most stable computed form: 0.00 eV per formula unit
ρ: 9.87 g/cm³

Structure (POSCAR):
```
MnTlPb3
1.0
-3.850 0.762 -3.548
3.533 -0.397 -3.919
-0.830 -5.221 -0.220
Pb Tl Mn
3 1 1
Direct
0.500 0.000 0.000
0.000 0.000 0.500
0.000 0.500 0.000
0.500 0.500 0.500
0.000 0.000 0.000
```

# 5
Here is LaSbRh after structural relaxation from the Alexandria database. Energies are from PBE.

## Properties
Formation energy without anion corrections: -612 meV/atom
D(E_F): 3.9 states/eV per cell
Symmetry: I4mm
Calculated volume: 69.6 Å³/f.u.
Crystal system: tetragonal
Raw total energy: -6.0791 eV/atom
ρ: 8.67 g/cm³

Structure (POSCAR):
```
LaSbRh
1.0
4.714 -3.886 1.477
5.825 0.835 2.208
-6.118 1.370 0.454
Rh La Sb
1 1 1
Direct
0.309 0.309 0.000
0.990 0.990 0.000
0.701 0.701 0.000
```

# 6
Here is PaFe2P2Ru after structural relaxation from the Alexandria database. Energies are from PBE.

## Properties
DFT formation energy: -0.623 eV per atom
D(E_F): 7.2 states/eV per cell
Symmetry: P-3m1
Calculated volume: 84.1 Å³/f.u.
Crystal system: trigonal
Raw total energy: -8.3757 eV/atom
ρ: 9.98 g/cm³

Structure (POSCAR):
```
PaFe2P2Ru
1.0
3.912 0.000 0.000
-1.956 3.388 0.000
0.000 0.000 6.347
Pa P Fe Ru
1 2 2 1
Direct
0.000 0.000 0.000
0.333 0.667 0.313
0.667 0.333 0.687
0.667 0.333 0.282
0.333 0.667 0.718
0.000 0.000 0.500
```

# 7
Here is Mg7Zn2Ga2 after structural relaxation from the Alexandria database. Energies are from PBE.

## Properties
DFT formation energy: 0.021 eV per atom
D(E_F): 4.0 states/eV per cell
Symmetry: Cmmm
Calculated volume: 241.0 Å³/f.u.
Crystal system: orthorhombic
Raw total energy: -1.7760 eV/atom
Offset from the most stable computed form: 1.08 eV per formula unit
ρ: 3.03 g/cm³

Structure (POSCAR):
```
Mg7Zn2Ga2
1.0
5.852 -0.002 -0.932
0.004 7.388 0.003
-1.295 -0.002 5.782
Mg Ga Zn
7 2 2
Direct
0.500 0.234 0.500
0.500 0.766 0.500
0.000 0.705 0.500
0.500 0.295 0.000
0.500 0.705 0.000
0.000 0.000 0.000
0.000 0.295 0.500
0.811 0.500 0.811
0.189 0.500 0.189
0.283 0.000 0.717
0.717 0.000 0.283
```

# 8
Here is Ce4ScIn2 after structural relaxation from the Alexandria database. Energies are from PBE.

## Properties
DFT formation energy: -0.130 eV per atom
D(E_F): 17.4 states/eV per cell
Symmetry: Cm
Calculated volume: 191.4 Å³/f.u.
Crystal system: monoclinic
Raw total energy: -5.2080 eV/atom
ρ: 7.25 g/cm³

Structure (POSCAR):
```
Ce4ScIn2
1.0
-5.899 -2.257 -0.722
1.832 -3.567 -4.933
3.150 -0.493 5.936
Ce In Sc
4 2 1
Direct
0.016 0.016 0.255
0.286 0.698 0.035
0.242 0.242 0.990
0.698 0.286 0.035
0.285 0.695 0.551
0.695 0.285 0.551
0.778 0.778 0.583
```

- The highest calculated volume belongs to which entry?
  CeTl2Tc3O12

- D(E_F) of number 6 (PaFe2P2Ru)?
  7.2 states/eV per cell

- Which of these has the lowest calculated volume?
  LaSbRh

- raw total energy of number 7 (Mg7Zn2Ga2)?
  -1.7760 eV/atom